Entry 1:
The following is a DFT calculation (PBE-GGA) of a relaxed structure of TiReRh2.

a = 3.8338 Å, b = 3.9020 Å, c = 3.9020 Å
α = 90.00°, β = 90.00°, γ = 90.00°
Sites, in units of the cell vectors:
Re 0.5000 0.0000 0.0000
Rh 0.0000 0.0000 0.5000
Rh 0.0000 0.5000 0.0000
Ti 0.5000 0.5000 0.5000

Results
crystal system	tetragonal
energy of formation from the pure elements	-0.382	eV per atom



Entry 2:
The following is a DFT calculation (PBE-GGA) of a relaxed structure of NaNiN.

a = 3.4837 Å, b = 5.8312 Å, c = 8.6974 Å
α = 90.00°, β = 90.00°, γ = 90.00°
Last column: magnetic moment on the atom in μB.
Sites, in units of the cell vectors:
Na 0.2500 0.0592 0.6679  0.00
Na 0.2500 0.4408 0.1679  0.00
Na 0.7500 0.9408 0.3321  0.00
Na 0.7500 0.5592 0.8321  0.00
Ni 0.2500 0.6158 0.5387  0.51
Ni 0.2500 0.8842 0.0387  0.51
Ni 0.7500 0.3842 0.4613  0.51
Ni 0.7500 0.1158 0.9613  0.51
N 0.2500 0.1938 0.9365  0.24
N 0.2500 0.3062 0.4365  0.24
N 0.7500 0.8062 0.0635  0.24
N 0.7500 0.6938 0.5635  0.24

Results
crystal system	orthorhombic
energy relative to the elements, uncorrected	0.08	eV/f.u.



Entry 3:
The following is a DFT calculation (PBE-GGA) of a relaxed structure of CrHg2Os.

a = 2.9051 Å, b = 2.9134 Å, c = 8.6937 Å
α = 77.33°, β = 90.00°, γ = 90.00°
Sites, in units of the cell vectors:
Cr 0.5000 0.8216 0.7086
Hg 0.0000 0.1595 0.9580
Hg 0.5000 0.0935 0.2833
Os 0.0000 0.4254 0.5501

Results
crystal system	monoclinic
energy of formation from the pure elements	0.369	eV per atom



Number 1: ΔE to the lowest computed polymorph 0.0 meV per atom, final energy -9.143 eV per atom. Number 2: ΔE to the lowest computed polymorph 10.5 meV per atom, final energy -5.115 eV per atom. Number 3: ΔE to the lowest computed polymorph 0.0 meV per atom, final energy -4.996 eV per atom.